A plane-wave DFT calculation with PBE was carried out for crystalline SrLaRh2Pb at its relaxed geometry.

ΔE_f, eV per atom: 0.518
Magnetic moment, μB per atom: 0.0000
Raw total energy, eV for the cell shown: -22.4
Density of states at the Fermi level, states/eV per atom: 0.9340

```
SrLaRh2Pb
1.0
4.9433 0.0000 0.0000
0.0000 6.0724 0.0000
0.0000 0.0000 4.9433
La Rh Pb Sr
1 2 1 1
Direct
0.0000 0.0000 0.0000 La
0.5000 0.0000 0.0000 Rh
0.0000 0.0000 0.5000 Rh
0.5000 0.5000 0.5000 Pb
0.0000 0.5000 0.0000 Sr
```

---

A plane-wave DFT calculation with PBE was carried out for crystalline SrLa2RhPb at its relaxed geometry.

ΔE_f, eV per atom: -0.468
Magnetic moment, μB per atom: 0.0000
Raw total energy, eV for the cell shown: -24.9
Density of states at the Fermi level, states/eV per atom: 0.5749

```
SrLa2RhPb
1.0
5.4833 0.0000 0.0000
0.0000 5.4833 0.0000
0.0000 0.0000 5.7772
Rh La Pb Sr
1 2 1 1
Direct
0.0000 0.0000 0.0000 Rh
0.5000 0.0000 0.0000 La
0.0000 0.5000 0.0000 La
0.5000 0.5000 0.5000 Pb
0.0000 0.0000 0.5000 Sr
```

---

A plane-wave DFT calculation with PBE was carried out for crystalline La2TeRhPb at its relaxed geometry.

Magnetic moment, μB per atom: 0.0000
Raw total energy, eV for the cell shown: -24.3
Density of states at the Fermi level, states/eV per atom: 1.0741
Raw formation energy, kJ/mol of formula units: -20

```
La2TeRhPb
1.0
-2.3692 -5.5166 -0.9638
1.8479 -1.5433 4.2912
-5.1134 1.7042 2.8149
Pb La Rh Te
1 2 1 1
Direct
0.0000 0.0000 0.0000 Pb
0.5000 0.0000 0.0000 La
0.0000 0.0000 0.5000 La
0.0000 0.5000 0.0000 Rh
0.5000 0.5000 0.5000 Te
```